# 1
# PBE ScSbRh, optimized geometry
data_ScSbRh
_space_group_name_H-M_alt 'P 3 m 1'
_space_group_IT_number 156
_cell_length_a 3.3295
_cell_length_b 3.3295
_cell_length_c 6.4027
_cell_angle_alpha 90.00
_cell_angle_beta 90.00
_cell_angle_gamma 120.00
loop_
_space_group_symop_operation_xyz
'x,y,z'
'-y,x-y,z'
'-x+y,-x,z'
'-y,-x,z'
'-x+y,y,z'
'x,x-y,z'
loop_
_atom_site_label
_atom_site_type_symbol
_atom_site_fract_x
_atom_site_fract_y
_atom_site_fract_z
Sc1 Sc 0.0000 0.0000 0.0000
Sb1 Sb 0.3333 0.6667 0.6073
Rh1 Rh 0.6667 0.3333 0.2839
# Formation energy without anion corrections ... -0.40 eV per atom
# Raw total energy ... -6.335 eV per atom

# 2
# PBE TcSbPb2, optimized geometry
data_TcSbPb2
_space_group_name_H-M_alt 'P 4/m m m'
_space_group_IT_number 123
_space_group_name_Hall '-P 4 2'
_cell_length_a 4.939
_cell_length_b 4.939
_cell_length_c 4.178
_cell_angle_alpha 90.00
_cell_angle_beta 90.00
_cell_angle_gamma 90.00
loop_
_atom_site_label
_atom_site_type_symbol
_atom_site_fract_x
_atom_site_fract_y
_atom_site_fract_z
Tc1 Tc 0.000 0.000 0.000
Sb1 Sb 0.500 0.500 0.000
Pb1 Pb 0.000 0.500 0.500
# Formation energy without anion corrections ... 0.71 eV per atom
# Raw total energy ... -4.768 eV per atom

# 3
# PBE Hf3CrIn, optimized geometry
data_Hf3CrIn
_space_group_name_H-M_alt 'P m -3 m'
_space_group_IT_number 221
_space_group_name_Hall '-P 4 2 3'
_cell_length_a 4.830
_cell_length_b 4.830
_cell_length_c 4.830
_cell_angle_alpha 90.00
_cell_angle_beta 90.00
_cell_angle_gamma 90.00
loop_
_atom_site_label
_atom_site_type_symbol
_atom_site_fract_x
_atom_site_fract_y
_atom_site_fract_z
Hf1 Hf 0.000 0.000 0.500
Cr1 Cr 0.000 0.000 0.000
In1 In 0.500 0.500 0.500
# Raw total energy ... -7.954 eV per atom
# DFT formation energy ... 491 meV/atom

# 4
# PBE Ba2SrCdS, optimized geometry
data_Ba2SrCdS
_space_group_name_H-M_alt 'P 4/m m m'
_space_group_IT_number 123
_space_group_name_Hall '-P 4 2'
_cell_length_a 6.190
_cell_length_b 6.190
_cell_length_c 5.688
_cell_angle_alpha 90.00
_cell_angle_beta 90.00
_cell_angle_gamma 90.00
loop_
_atom_site_label
_atom_site_type_symbol
_atom_site_fract_x
_atom_site_fract_y
_atom_site_fract_z
Ba1 Ba 0.000 0.500 0.000
Sr1 Sr 0.000 0.000 0.500
Cd1 Cd 0.500 0.500 0.500
S1 S 0.000 0.000 0.000
# Formation energy without anion corrections ... -0.80 eV per atom
# Raw total energy ... -2.917 eV per atom

Look up the raw total energy of the second one. -4.768 eV per atom

raw total energy of number 4 (Ba2SrCdS)? -2.917 eV per atom

Among the records above, which one has the lowest raw total energy? Hf3CrIn